# 1
The following is a DFT calculation (meta-GGA SCAN) of a crystal of Sc2RuAu relaxed with PBEsol.

a b c (Å): 6.5066 6.5066 6.5066
angles (deg): 90.00 90.00 90.00
With the nearest neighbours (Å) after each atom.
Fractional coordinates of all 16 atoms:
Sc 0.2500 0.2500 0.2500  4 Ru 2.82, 4 Au 2.82
Sc 0.2500 0.2500 0.7500  4 Ru 2.82, 4 Au 2.82
Sc 0.2500 0.7500 0.2500  4 Ru 2.82, 4 Au 2.82
Sc 0.2500 0.7500 0.7500  4 Ru 2.82, 4 Au 2.82
Sc 0.7500 0.2500 0.2500  4 Ru 2.82, 4 Au 2.82
Sc 0.7500 0.2500 0.7500  4 Ru 2.82, 4 Au 2.82
Sc 0.7500 0.7500 0.2500  4 Ru 2.82, 4 Au 2.82
Sc 0.7500 0.7500 0.7500  4 Ru 2.82, 4 Au 2.82
Ru 0.0000 0.0000 0.0000  8 Sc 2.82
Ru 0.0000 0.5000 0.5000  8 Sc 2.82
Ru 0.5000 0.0000 0.5000  8 Sc 2.82
Ru 0.5000 0.5000 0.0000  8 Sc 2.82
Au 0.0000 0.0000 0.5000  8 Sc 2.82
Au 0.0000 0.5000 0.0000  8 Sc 2.82
Au 0.5000 0.0000 0.0000  8 Sc 2.82
Au 0.5000 0.5000 0.5000  8 Sc 2.82

Results
ΔE_f   -0.864 eV per atom
Symmetry   No. 225

# 2
The following is a DFT calculation (meta-GGA SCAN) of a crystal of ScRu2Au relaxed with PBEsol.

a b c (Å): 9.1026 2.8923 4.7884
angles (deg): 90.00 101.38 90.00
With the nearest neighbours (Å) after each atom.
Fractional coordinates of all 8 atoms:
Sc 0.0000 0.0000 0.0000  6 Ru 2.75-2.77, 4 Au 2.80, 2 Sc 2.89
Sc 0.5000 0.5000 0.0000  6 Ru 2.75-2.77, 4 Au 2.80, 2 Sc 2.89
Ru 0.2491 0.5000 0.2474  3 Sc 2.75-2.77, 3 Au 2.77, 6 Ru 2.78-2.89
Ru 0.2509 0.0000 0.7526  3 Sc 2.75-2.77, 3 Au 2.77, 6 Ru 2.78-2.89
Ru 0.7491 0.0000 0.2474  3 Sc 2.75-2.77, 3 Au 2.77, 6 Ru 2.78-2.89
Ru 0.7509 0.5000 0.7526  3 Sc 2.75-2.77, 3 Au 2.77, 6 Ru 2.78-2.89
Au 0.0000 0.5000 0.5000  6 Ru 2.77, 4 Sc 2.80, 2 Au 2.89
Au 0.5000 0.0000 0.5000  6 Ru 2.77, 4 Sc 2.80, 2 Au 2.89

Results
E above lowest polymorph   0.0 kJ/mol of atoms
ΔE_f   -0.091 eV per atom
Symmetry   No. 12

# 3
The following is a DFT calculation (meta-GGA SCAN) of a crystal of ScRu2Au relaxed with PBEsol.

a b c (Å): 2.8226 2.8226 27.1996
angles (deg): 90.00 90.00 120.00
With the nearest neighbours (Å) after each atom.
Fractional coordinates of all 12 atoms:
Sc 0.0000 0.0000 0.0000  3 Ru 2.82, 6 Sc 2.82, 3 Au 2.91
Sc 0.3333 0.6667 0.6667  3 Ru 2.82, 6 Sc 2.82, 3 Au 2.91
Sc 0.6667 0.3333 0.3333  3 Ru 2.82, 6 Sc 2.82, 3 Au 2.91
Ru 0.0000 0.0000 0.2488  9 Ru 2.57-2.82, 3 Sc 2.82
Ru 0.0000 0.0000 0.5090  9 Ru 2.57-2.82, 3 Au 2.88
Ru 0.3333 0.6667 0.1756  9 Ru 2.57-2.82, 3 Au 2.88
Ru 0.3333 0.6667 0.9154  9 Ru 2.57-2.82, 3 Sc 2.82
Ru 0.6667 0.3333 0.5821  9 Ru 2.57-2.82, 3 Sc 2.82
Ru 0.6667 0.3333 0.8423  9 Ru 2.57-2.82, 3 Au 2.88
Au 0.0000 0.0000 0.7552  6 Au 2.82, 3 Ru 2.88, 3 Sc 2.91
Au 0.3333 0.6667 0.4218  6 Au 2.82, 3 Ru 2.88, 3 Sc 2.91
Au 0.6667 0.3333 0.0885  6 Au 2.82, 3 Ru 2.88, 3 Sc 2.91

Results
E above lowest polymorph   19.7 kJ/mol of atoms
ΔE_f   0.113 eV per atom
Symmetry   No. 160

# 4
The following is a DFT calculation (meta-GGA SCAN) of a crystal of Sc2RuAu relaxed with PBEsol.

a b c (Å): 3.2297 3.2297 6.6304
angles (deg): 90.00 90.00 90.00
With the nearest neighbours (Å) after each atom.
Fractional coordinates of all 4 atoms:
Sc 0.0000 0.0000 0.2300  4 Ru 2.75, 4 Au 2.90, 1 Sc 3.05
Sc 0.0000 0.0000 0.7700  4 Ru 2.75, 4 Au 2.90, 1 Sc 3.05
Ru 0.5000 0.5000 0.0000  8 Sc 2.75
Au 0.5000 0.5000 0.5000  8 Sc 2.90, 4 Au 3.23

Results
ΔE_f   -0.931 eV per atom
Symmetry   No. 123

| no. | total energy (eV per atom) |
| --- | --- |
| 1 | -33.978 |
| 2 | -38.353 |
| 3 | -38.149 |
| 4 | -34.045 |